[1]
A PBEsol-optimized structure of BaHfSbTe2. Source: the Alexandria database, functional meta-GGA SCAN.

E_tot, eV/atom: -41.587
Crystal system: tetragonal
Space group: P4/mmm, No. 123
Formation energy (no corrections), kJ/mol of atoms: 116.72
Magnetization, μB/f.u.: 0.616

a = 6.0207 Å, b = 6.0207 Å, c = 5.9092 Å
α = 90.00°, β = 90.00°, γ = 90.00°
Last column: nearest neighbours and their distance in Å.
Atoms (fractional coordinates):
Ba 0.0000 0.0000 0.0000  2 Sb 2.95, 4 Te 3.01
Hf 0.5000 0.5000 0.5000  8 Te 4.22, 4 Sb 4.26
Sb 0.0000 0.0000 0.5000  2 Ba 2.95
Te 0.0000 0.5000 0.0000  2 Ba 3.01
Te 0.5000 0.0000 0.0000  2 Ba 3.01



[2]
A PBEsol-optimized structure of Ta2TiW. Source: the Alexandria database, functional meta-GGA SCAN.

E_tot, eV/atom: -54.747
Crystal system: cubic
Space group: Fm-3m, No. 225
ΔH_f (0 K), eV/f.u.: -0.1
Magnetization, μB/f.u.: 0.003

a = 4.5480 Å, b = 4.5480 Å, c = 4.5480 Å
α = 60.00°, β = 60.00°, γ = 60.00°
Last column: nearest neighbours and their distance in Å.
Atoms (fractional coordinates):
Ta 0.2500 0.2500 0.2500  4 W 2.79, 4 Ti 2.79
Ta 0.7500 0.7500 0.7500  4 W 2.79, 4 Ti 2.79
Ti 0.0000 0.0000 0.0000  8 Ta 2.79
W 0.5000 0.5000 0.5000  8 Ta 2.79



[3]
A PBEsol-optimized structure of SiPt2W. Source: the Alexandria database, functional meta-GGA SCAN.

E_tot, eV/atom: -55.277
Crystal system: monoclinic
Space group: P2/m, No. 10
Formation energy (no corrections), kJ/mol of atoms: -24.51
Magnetization, μB/f.u.: 0.000

a = 2.8008 Å, b = 4.0991 Å, c = 5.2713 Å
α = 90.00°, β = 104.68°, γ = 90.00°
Last column: nearest neighbours and their distance in Å.
Atoms (fractional coordinates):
Si 0.0000 0.0000 0.0000  4 Pt 2.48, 2 W 2.65
Pt 0.1132 0.5000 0.7569  2 Si 2.48, 1 Pt 2.62
Pt 0.8868 0.5000 0.2431  2 Si 2.48, 1 Pt 2.62
W 0.5000 0.0000 0.5000  2 Si 2.65, 8 Pt 2.79-2.82, 2 W 2.80



[4]
A PBEsol-optimized structure of LaSc2Cd. Source: the Alexandria database, functional meta-GGA SCAN.

E_tot, eV/atom: -25.653
Crystal system: tetragonal
Space group: P4/mmm, No. 123
ΔH_f (0 K), eV/f.u.: -0.6
Magnetization, μB/f.u.: 0.017

a = 3.4957 Å, b = 3.4957 Å, c = 8.0208 Å
α = 90.00°, β = 90.00°, γ = 90.00°
Last column: nearest neighbours and their distance in Å.
Atoms (fractional coordinates):
La 0.0000 0.0000 0.0000  8 Sc 3.37, 4 La 3.50
Sc 0.5000 0.5000 0.2850  4 Cd 3.01, 4 La 3.37
Sc 0.5000 0.5000 0.7150  4 Cd 3.01, 4 La 3.37
Cd 0.0000 0.0000 0.5000  8 Sc 3.01



- What is the formula in the third record?
  SiPt2W



What did the fourth record say?
A PBEsol-optimized structure of LaSc2Cd. Source: the Alexandria database, functional meta-GGA SCAN.

E_tot, eV/atom: -25.653
Crystal system: tetragonal
Space group: P4/mmm, No. 123
ΔH_f (0 K), eV/f.u.: -0.6
Magnetization, μB/f.u.: 0.017

a = 3.4957 Å, b = 3.4957 Å, c = 8.0208 Å
α = 90.00°, β = 90.00°, γ = 90.00°
Last column: nearest neighbours and their distance in Å.
Atoms (fractional coordinates):
La 0.0000 0.0000 0.0000  8 Sc 3.37, 4 La 3.50
Sc 0.5000 0.5000 0.2850  4 Cd 3.01, 4 La 3.37
Sc 0.5000 0.5000 0.7150  4 Cd 3.01, 4 La 3.37
Cd 0.0000 0.0000 0.5000  8 Sc 3.01



- Which of these has the highest E_tot?
  LaSc2Cd